Record 1
First-principles (PBEsol) data for a relaxed structure of TaBe2Si, as listed in the Alexandria database.

Cell and atoms, written as POSCAR:
```
TaBe2Si
1.0
3.4328 0.0000 0.0000
0.0000 3.4328 0.0000
-1.7164 -1.7164 4.0370
Be Ta Si
2 1 1
Direct
0.7500 0.2500 0.5000
0.0000 0.0000 0.0000
0.2500 0.7500 0.5000
0.5000 0.5000 0.0000
```

Computed properties:
Total energy ... -27.1 eV per cell
Total magnetization ... 0.00 Bohr magnetons per cell
ΔE_f (raw) ... -0.2116 eV/atom
SG ... I-4m2, No. 119
ρ ... 7.93 g/cm3

***

Record 2
First-principles (PBEsol) data for a relaxed structure of Gd3InN, as listed in the Alexandria database.

Cell and atoms, written as POSCAR:
```
Gd3InN
1.0
4.8123 0.0000 0.0000
0.0000 4.8123 0.0000
0.0000 0.0000 4.8123
In Gd N
1 3 1
Direct
0.5000 0.5000 0.5000
0.0000 0.5000 0.0000
0.0000 0.0000 0.5000
0.5000 0.0000 0.0000
0.0000 0.0000 0.0000
```

Computed properties:
Total energy ... -60.1 eV per cell
Total magnetization ... 21.43 Bohr magnetons per cell
ΔE_f (raw) ... -1.0573 eV/atom
SG ... Pm-3m, No. 221
ρ ... 8.95 g/cm3

***

Record 3
First-principles (PBEsol) data for a relaxed structure of TcMo2Ir, as listed in the Alexandria database.

Cell and atoms, written as POSCAR:
```
TcMo2Ir
1.0
3.8584 0.0000 0.0000
0.0000 3.8900 0.0000
0.0000 0.0000 3.8900
Mo Ir Tc
2 1 1
Direct
0.0000 0.5000 0.0000
0.0000 0.0000 0.5000
0.5000 0.0000 0.0000
0.5000 0.5000 0.5000
```

Computed properties:
Total energy ... -45.0 eV per cell
DFT formation energy ... -0.091 eV per atom
Total magnetization ... 0.00 Bohr magnetons per cell
SG ... P4/mmm, No. 123
ρ ... 13.71 g/cm3

***

Record 4
First-principles (PBEsol) data for a relaxed structure of CsCdPt3, as listed in the Alexandria database.

Cell and atoms, written as POSCAR:
```
CsCdPt3
1.0
-1.9914 -3.3513 -3.1946
3.5585 1.1170 -3.3900
2.9621 -3.5949 1.9248
Cs Pt Cd
1 3 1
Direct
0.5000 0.5000 0.5000
0.0000 0.5000 0.0000
0.0000 0.0000 0.5000
0.5000 0.0000 0.0000
0.0000 0.0000 0.0000
```

Computed properties:
Total energy ... -18.1 eV per cell
DFT formation energy ... 0.983 eV per atom
Total magnetization ... 0.00 Bohr magnetons per cell
SG ... Pm-3m, No. 221
ρ ... 10.77 g/cm3

***

Record 5
First-principles (PBEsol) data for a relaxed structure of Tl3CoAu, as listed in the Alexandria database.

Cell and atoms, written as POSCAR:
```
Tl3CoAu
1.0
-2.2143 4.7116 1.2069
-4.6519 -2.4387 0.9858
1.4199 -0.6421 5.1118
Au Tl Co
1 3 1
Direct
0.0000 0.0000 0.0000
0.0000 0.0000 0.5000
0.0000 0.5000 0.0000
0.5000 0.0000 0.0000
0.5000 0.5000 0.5000
```

Computed properties:
Total energy ... -14.7 eV per cell
DFT formation energy ... 0.973 eV per atom
Total magnetization ... 2.03 Bohr magnetons per cell
SG ... Pm-3m, No. 221
ρ ... 9.46 g/cm3

***

Record 6
First-principles (PBEsol) data for a relaxed structure of FeMoPt2, as listed in the Alexandria database.

Cell and atoms, written as POSCAR:
```
FeMoPt2
1.0
-2.1083 -1.6785 -0.0992
2.4721 -1.1642 3.8129
-2.7756 3.3774 1.8470
Pt Fe Mo
2 1 1
Direct
0.2451 0.4901 0.7296
0.0024 0.0048 0.0182
0.4987 0.9974 0.5108
0.7538 0.5076 0.2414
```

Computed properties:
Total energy ... -35.4 eV per cell
DFT formation energy ... -0.183 eV per atom
Total magnetization ... 2.70 Bohr magnetons per cell
SG ... Cm, No. 8
ρ ... 15.90 g/cm3

***

Record 7
First-principles (PBEsol) data for a relaxed structure of BaTiZnTe2, as listed in the Alexandria database.

Cell and atoms, written as POSCAR:
```
BaTiZnTe2
1.0
-2.4292 0.2974 -5.4666
-5.3963 -2.3528 2.2699
-2.0347 5.8459 1.2222
Ba Zn Ti Te
1 1 1 2
Direct
0.0000 0.0000 0.0000
0.5000 0.5000 0.5000
0.5000 0.0000 0.0000
0.0000 0.5000 0.0000
0.0000 0.0000 0.5000
```

Computed properties:
Total energy ... -13.4 eV per cell
Total magnetization ... 2.26 Bohr magnetons per cell
ΔE_f (raw) ... 1.1402 eV/atom
SG ... P4/mmm, No. 123
ρ ... 3.52 g/cm3

***

Record 8
First-principles (PBEsol) data for a relaxed structure of Te2POs, as listed in the Alexandria database.

Cell and atoms, written as POSCAR:
```
Te2POs
1.0
-2.4231 -1.1174 -2.6700
0.9894 -2.7132 -2.4307
-2.9270 -5.8913 2.4535
Te Os P
2 1 1
Direct
0.2436 0.2436 0.2692
0.7564 0.7564 0.7308
0.5000 0.5000 0.5000
0.0000 0.0000 0.0000
```

Computed properties:
Total energy ... -23.0 eV per cell
Total magnetization ... 0.00 Bohr magnetons per cell
ΔE_f (raw) ... 0.5176 eV/atom
SG ... R-3m, No. 166
ρ ... 9.61 g/cm3

***

Record 9
First-principles (PBEsol) data for a relaxed structure of ReW2Cl, as listed in the Alexandria database.

Cell and atoms, written as POSCAR:
```
ReW2Cl
1.0
-1.5719 1.1658 2.0880
-1.0024 -1.6365 2.1229
6.3395 1.3648 6.1213
Re W Cl
1 2 1
Direct
0.2456 0.2456 0.2396
0.7530 0.7530 0.7386
0.9997 0.9997 0.0022
0.5018 0.5018 0.5196
```

Computed properties:
Total energy ... -41.3 eV per cell
Total magnetization ... 0.00 Bohr magnetons per cell
ΔE_f (raw) ... 0.4192 eV/atom
SG ... Cm, No. 8
ρ ... 15.80 g/cm3

***

Record 10
First-principles (PBEsol) data for a relaxed structure of La2MgS4, as listed in the Alexandria database.

Cell and atoms, written as POSCAR:
```
La2MgS4
1.0
6.6262 0.0000 0.0000
0.0000 8.3469 0.0000
0.0000 0.0000 13.8717
S La Mg
16 8 4
Direct
0.2377 0.5221 0.6730
0.2391 0.7500 0.9376
0.2377 0.9779 0.6730
0.7792 0.7500 0.5905
0.7377 0.4779 0.8270
0.2623 0.5221 0.1730
0.2792 0.2500 0.9095
0.7377 0.0221 0.8270
0.2208 0.2500 0.4095
0.2623 0.9779 0.1730
0.7391 0.2500 0.5624
0.7623 0.0221 0.3270
0.7609 0.2500 0.0624
0.7208 0.7500 0.0905
0.2609 0.7500 0.4376
0.7623 0.4779 0.3270
0.4816 0.2500 0.7254
0.0184 0.2500 0.2254
0.5000 0.0000 0.0000
0.0000 0.5000 0.5000
0.9816 0.7500 0.7746
0.5184 0.7500 0.2746
0.0000 0.0000 0.5000
0.5000 0.5000 0.0000
0.0833 0.7500 0.0998
0.9167 0.2500 0.9002
0.4167 0.7500 0.5998
0.5833 0.2500 0.4002
```

Computed properties:
Total energy ... -173.0 eV per cell
Total magnetization ... 0.00 Bohr magnetons per cell
ΔE_f (raw) ... -1.9018 eV/atom
SG ... Pnma, No. 62
ρ ... 3.73 g/cm3

***

Record 11
First-principles (PBEsol) data for a relaxed structure of MnCdBr2, as listed in the Alexandria database.

Cell and atoms, written as POSCAR:
```
MnCdBr2
1.0
-1.3977 2.8349 -1.3509
-5.0417 -1.6493 -2.6178
-5.0431 0.9927 2.9280
Br Mn Cd
2 1 1
Direct
0.0485 0.9515 0.9515
0.2208 0.2792 0.2792
0.7470 0.7530 0.7530
0.4837 0.5163 0.5163
```

Computed properties:
Total energy ... -15.1 eV per cell
Total magnetization ... 4.92 Bohr magnetons per cell
ΔE_f (raw) ... -0.1087 eV/atom
SG ... Imm2, No. 44
ρ ... 5.41 g/cm3

***

Record 12
First-principles (PBEsol) data for a relaxed structure of Y2ScP2, as listed in the Alexandria database.

Cell and atoms, written as POSCAR:
```
Y2ScP2
1.0
-2.0222 3.2764 0.0605
-2.1847 -1.2225 -6.8180
-5.7820 -3.6148 2.5009
Y Sc P
4 2 4
Direct
0.5000 0.3440 0.1560
0.5000 0.8440 0.3440
0.5000 0.6560 0.8440
0.5000 0.1560 0.6560
0.0000 0.0000 0.0000
0.0000 0.5000 0.5000
0.0000 0.6520 0.1520
0.0000 0.8480 0.6520
0.0000 0.3480 0.8480
0.0000 0.1520 0.3480
```

Computed properties:
Total energy ... -77.0 eV per cell
DFT formation energy ... -1.334 eV per atom
Total magnetization ... 0.01 Bohr magnetons per cell
SG ... P4/mbm, No. 127
ρ ... 4.65 g/cm3